Compound: KMoSN2
Source: Alexandria
Functional: PBE
Structure: relaxed

a = 4.0465 Å, b = 4.0465 Å, c = 4.9240 Å
α = 90.00°, β = 90.00°, γ = 90.00°
Closest atoms and distances in Å follow each position.
Fractional coordinates of all 5 atoms:
1 S 0.0000 0.0000 0.5000  2 Mo 2.46
2 Mo 0.0000 0.0000 0.0000  4 N 2.02
3 K 0.5000 0.5000 0.5000  4 S 2.86, 8 N 3.19
4 N 0.0000 0.5000 0.0000  2 Mo 2.02
5 N 0.5000 0.0000 0.0000  2 Mo 2.02

Values from the calculation:
As for the space group: P4/mmm, No. 123. The density of states at the Fermi level is 0.403 states/eV/atom. The value obtained for the energy above the most stable polymorph in this dataset is 0.0 kJ per mole of atoms. Its magnetic moment is 0.22 μB/atom.

=====

Compound: Bi2Au2Cl
Source: Alexandria
Functional: PBE
Structure: relaxed

a = 8.4469 Å, b = 8.4469 Å, c = 3.4844 Å
α = 90.00°, β = 90.00°, γ = 90.00°
Closest atoms and distances in Å follow each position.
Fractional coordinates of all 10 atoms:
1 Au 0.3768 0.8768 0.0000  1 Au 2.94, 6 Bi 2.97-3.10
2 Au 0.8768 0.6232 0.0000  1 Au 2.94, 6 Bi 2.97-3.10
3 Au 0.6232 0.1232 0.0000  1 Au 2.94, 6 Bi 2.97-3.10
4 Au 0.1232 0.3768 0.0000  1 Au 2.94, 6 Bi 2.97-3.10
5 Bi 0.1752 0.6752 0.5000  6 Au 2.97-3.10
6 Bi 0.6752 0.8248 0.5000  6 Au 2.97-3.10
7 Bi 0.8248 0.3248 0.5000  6 Au 2.97-3.10
8 Bi 0.3248 0.1752 0.5000  6 Au 2.97-3.10
9 Cl 0.0000 0.0000 0.0000  4 Au 3.35, 2 Cl 3.48, 8 Bi 3.57
10 Cl 0.5000 0.5000 0.0000  4 Au 3.35, 2 Cl 3.48, 8 Bi 3.57

Values from the calculation:
As for the space group: P4/mbm, No. 127. The density of states at the Fermi level is 0.383 states/eV/atom. The value obtained for the energy above the most stable polymorph in this dataset is 8.4 kJ per mole of atoms. Its magnetic moment is 0.00 μB/atom.

=====

Compound: Cs2SiSbCl6
Source: Alexandria
Functional: PBE
Structure: relaxed

a = 7.5937 Å, b = 7.5937 Å, c = 7.6142 Å
α = 60.09°, β = 60.09°, γ = 90.00°
Closest atoms and distances in Å follow each position.
Fractional coordinates of all 10 atoms:
1 Cs 0.7500 0.2500 0.5000  12 Cl 3.80-3.81
2 Cs 0.2500 0.7500 0.5000  12 Cl 3.80-3.81
3 Sb 0.0000 0.0000 0.0000  6 Cl 2.79-2.82
4 Si 0.5000 0.5000 0.0000  6 Cl 2.58
5 Cl 0.2608 0.2608 0.4784  1 Si 2.58, 1 Sb 2.82
6 Cl 0.7392 0.7392 0.5216  1 Si 2.58, 1 Sb 2.82
7 Cl 0.2598 0.2598 0.0000  1 Si 2.58, 1 Sb 2.79
8 Cl 0.7402 0.7402 0.0000  1 Si 2.58, 1 Sb 2.79
9 Cl 0.7402 0.2598 0.0000  1 Si 2.58, 1 Sb 2.79
10 Cl 0.2598 0.7402 0.0000  1 Si 2.58, 1 Sb 2.79

Values from the calculation:
For the raw total energy, the calculation gives -33.78 eV for the cell shown. As for the space group: I4/mmm, No. 139. The density of states at the Fermi level is 0.469 states/eV/atom. Its magnetic moment is 0.00 μB/atom.

=====

Compound: LiCdRu3
Source: Alexandria
Functional: PBE
Structure: relaxed

a = 4.9699 Å, b = 4.9699 Å, c = 4.9699 Å
α = 90.00°, β = 90.00°, γ = 90.00°
Closest atoms and distances in Å follow each position.
Fractional coordinates of all 5 atoms:
1 Ru 0.0000 0.5000 0.0000  2 Cd 2.48
2 Ru 0.0000 0.0000 0.5000  2 Cd 2.48
3 Ru 0.5000 0.0000 0.0000  2 Cd 2.48
4 Li 0.5000 0.5000 0.5000  12 Ru 3.51
5 Cd 0.0000 0.0000 0.0000  6 Ru 2.48

Values from the calculation:
As for the space group: Pm-3m, No. 221. The density of states at the Fermi level is 1.048 states/eV/atom. The value obtained for the energy above the most stable polymorph in this dataset is 100.1 kJ per mole of atoms. Its magnetic moment is 1.24 μB/atom.